Entry 1:
The following is a DFT calculation (GGA-PBE) of K2Sm2SiS6 after structural relaxation.

Output
- symmetry = C2/m, No. 12
- M_tot (Bohr magnetons per cell) = 0.000
- formation energy (no corrections) (meV/atom) = -1386.5

POSCAR file:
```
K2Sm2SiS6
1.0
3.4311 -5.8396 0.0000
3.4311 5.8396 0.0000
-2.3598 0.0000 7.4801
K Sm Si S
2 2 1 6
direct
0.1722 0.8278 0.0000
0.8278 0.1722 0.0000
0.3325 0.6675 0.5000
0.6675 0.3325 0.5000
0.0000 0.0000 0.5000
0.0652 0.3557 0.6877
0.2155 0.2155 0.3193
0.3557 0.0652 0.6877
0.6443 0.9348 0.3123
0.7845 0.7845 0.6807
0.9348 0.6443 0.3123
```

---

Entry 2:
The following is a DFT calculation (GGA-PBE) of KSi2SnS6 after structural relaxation.

Output
- symmetry = C2/c, No. 15
- M_tot (Bohr magnetons per cell) = 0.000
- formation energy (no corrections) (meV/atom) = -573.8

POSCAR file:
```
KSi2SnS6
1.0
6.2424 -6.6037 0.0000
6.2424 6.6037 0.0000
-0.9559 0.0000 6.1420
K Si Sn S
2 4 2 12
direct
0.0999 0.9001 0.7500
0.9001 0.0999 0.2500
0.2114 0.3715 0.7476
0.3715 0.2114 0.2476
0.6285 0.7886 0.7524
0.7886 0.6285 0.2524
0.2769 0.7231 0.2500
0.7231 0.2769 0.7500
0.0203 0.2244 0.7171
0.1556 0.5816 0.8692
0.2244 0.0203 0.2171
0.2874 0.4032 0.4269
0.4032 0.2874 0.9269
0.4184 0.8444 0.6308
0.5816 0.1556 0.3692
0.5968 0.7126 0.0731
0.7126 0.5968 0.5731
0.7756 0.9797 0.7829
0.8444 0.4184 0.1308
0.9797 0.7756 0.2829
```

---

Entry 3:
The following is a DFT calculation (GGA-PBE) of KSiSn2S4 after structural relaxation.

Output
- symmetry = Fmm2, No. 42
- M_tot (Bohr magnetons per cell) = 0.000
- formation energy (no corrections) (meV/atom) = -616.2

POSCAR file:
```
KSiSn2S4
1.0
0.0000 5.4247 3.5756
5.3023 0.0000 3.5756
5.3023 5.4247 0.0000
K Si Sn S
1 1 2 4
direct
0.0000 0.0000 0.0000
0.4983 0.4983 0.5017
0.2299 0.2299 0.2701
0.7299 0.7299 0.7701
0.1717 0.5105 0.4895
0.4884 0.8299 0.5116
0.5105 0.1717 0.8283
0.8299 0.4884 0.1701
```

---

Entry 4:
The following is a DFT calculation (GGA-PBE) of K2SrSiS4 after structural relaxation.

Output
- symmetry = C2/c, No. 15
- M_tot (Bohr magnetons per cell) = 0.000
- formation energy (no corrections) (meV/atom) = -1011.7

POSCAR file:
```
K2SrSiS4
1.0
5.9113 -5.7373 0.0000
5.9113 5.7373 0.0000
-5.7755 0.0000 6.5404
K Sr Si S
4 2 2 8
direct
0.0000 0.0000 0.0000
0.0000 0.0000 0.5000
0.0000 0.5000 0.0000
0.5000 0.0000 0.5000
0.5000 0.5000 0.0000
0.5000 0.5000 0.5000
0.0000 0.5000 0.5000
0.5000 0.0000 0.0000
0.1633 0.6588 0.4505
0.2187 0.3213 0.5361
0.3213 0.2187 0.0361
0.3412 0.8367 0.0495
0.6588 0.1633 0.9505
0.6787 0.7813 0.9639
0.7813 0.6787 0.4639
0.8367 0.3412 0.5495
```

---

Entry 5:
The following is a DFT calculation (GGA-PBE) of K2SrSi2S6 after structural relaxation.

Output
- symmetry = R-3m, No. 166
- M_tot (Bohr magnetons per cell) = 0.000
- formation energy (no corrections) (meV/atom) = -1047.6

POSCAR file:
```
K2SrSi2S6
1.0
3.5625 2.0568 8.0334
-3.5625 2.0568 8.0334
0.0000 -4.1136 8.0334
K Sr Si S
2 1 2 6
direct
0.2102 0.2102 0.2102
0.7898 0.7898 0.7898
0.0000 0.0000 0.0000
0.4186 0.4186 0.4186
0.5814 0.5814 0.5814
0.2476 0.7428 0.7428
0.2572 0.2572 0.7524
0.2572 0.7524 0.2572
0.7428 0.2476 0.7428
0.7428 0.7428 0.2476
0.7524 0.2572 0.2572
```

---

Entry 6:
The following is a DFT calculation (GGA-PBE) of KTaSi2S8 after structural relaxation.

Output
- symmetry = P-3, No. 147
- M_tot (Bohr magnetons per cell) = 1.887
- formation energy (no corrections) (meV/atom) = -547.5

POSCAR file:
```
KTaSi2S8
1.0
6.1151 0.0000 0.0000
-3.0575 5.2958 0.0000
0.0000 0.0000 8.7555
K Ta Si S
1 1 2 8
direct
0.0000 0.0000 0.0000
0.0000 0.0000 0.5000
0.3333 0.6667 0.7251
0.6667 0.3333 0.2749
0.0043 0.6723 0.3409
0.3277 0.3320 0.3409
0.3320 0.0043 0.6591
0.3333 0.6667 0.9664
0.6667 0.3333 0.0336
0.6680 0.9957 0.3409
0.6723 0.6680 0.6591
0.9957 0.3277 0.6591
```